(1)
Compound: Ta4Te16Pd3
Source: Alexandria via LeMat-Bulk
Functional: PBEsol
Structure: optimized geometry

a = 3.714 Å, b = 10.777 Å, c = 15.345 Å
α = 83.21°, β = 83.05°, γ = 80.08°
Fractional positions:
Te  0.075  0.530  0.320
Te  0.811  0.970  0.408
Te  0.595  0.322  0.489
Te  0.522  0.225  0.730
Te  0.720  0.803  0.757
Te  0.042  0.041  0.875
Te  0.478  0.775  0.270
Te  0.624  0.738  0.014
Te  0.280  0.197  0.243
Te  0.690  0.486  0.133
Te  0.925  0.470  0.680
Te  0.958  0.959  0.125
Te  0.405  0.678  0.511
Te  0.310  0.514  0.867
Te  0.189  0.030  0.592
Te  0.376  0.262  0.986
Pd  0.672  0.347  0.309
Pd  0.500  0.000  0.000
Pd  0.328  0.653  0.691
Ta  0.083  0.682  0.152
Ta  0.917  0.318  0.848
Ta  0.794  0.831  0.581
Ta  0.206  0.169  0.419

The calculation puts the final energy at -0.4236 Ry per atom. Its uncorrected formation energy is -350 meV/atom. For the total moment, the calculation gives 0.0 μB/f.u.

(2)
Compound: Y3Tm
Source: Alexandria via LeMat-Bulk
Functional: PBEsol
Structure: optimized geometry

a = 5.537 Å, b = 7.125 Å, c = 7.125 Å
α = 120.00°, β = 90.00°, γ = 90.00°
Fractional positions:
Y  0.750  0.832  0.665
Y  0.750  0.832  0.168
Y  0.750  0.335  0.168
Y  0.250  0.665  0.832
Y  0.250  0.168  0.832
Y  0.250  0.168  0.335
Tm  0.750  0.333  0.667
Tm  0.250  0.667  0.333

The formation energy is 0.0052 eV per atom. The calculation puts the final energy at -0.4657 Ry per atom. For the total moment, the calculation gives 0.0 μB/f.u.